<1>
Density functional theory data (meta-GGA SCAN) for a PBEsol-optimized structure of Tl2TeMo.

The space group is Amm2 (No. 38) and the conventional cell measures 4.497, 3.800 and 10.911 Å, with angles of 90.00, 90.00 and 90.00 degrees. Symmetry generates all atoms from Tl at (0.000, 0.000, 0.000), Tl at (0.500, 0.000, 0.318), Te at (0.500, 0.000, 0.598) and Mo at (0.000, 0.000, 0.734).


<2>
Density functional theory data (meta-GGA SCAN) for a PBEsol-optimized structure of Tl2TeMo.

The space group is P4/mmm (No. 123) and the conventional cell measures 4.222, 4.222 and 5.544 Å, with angles of 90.00, 90.00 and 90.00 degrees. Symmetry generates all atoms from Tl at (0.000, 0.500, 0.000), Te at (0.000, 0.000, 0.500) and Mo at (0.500, 0.500, 0.500).


Energetically preferred structure: <1> | next structure: +103 meV per atom


<1>
Density functional theory data (meta-GGA SCAN) for a PBEsol-optimized structure of TlTeMo2.

The space group is C2/m (No. 12) and the conventional cell measures 6.056, 8.817 and 3.128 Å, with angles of 90.00, 114.38 and 90.00 degrees. Symmetry generates all atoms from Tl at (0.000, 0.000, 0.000), Te at (0.000, 0.500, 0.000) and Mo at (0.250, 0.250, 0.500).


<2>
Density functional theory data (meta-GGA SCAN) for a PBEsol-optimized structure of TlTeMo2.

The space group is P4/mmm (No. 123) and the conventional cell measures 4.650, 4.650 and 3.321 Å, with angles of 90.00, 90.00 and 90.00 degrees. Symmetry generates all atoms from Tl at (0.000, 0.000, 0.000), Te at (0.500, 0.500, 0.000) and Mo at (0.000, 0.500, 0.500).


Energetically preferred structure: <2> | next structure: +235 meV per atom


<1>
Density functional theory data (meta-GGA SCAN) for a PBEsol-optimized structure of Te2MoW.

The space group is Pmm2 (No. 25) and the conventional cell measures 3.456, 4.224 and 6.563 Å, with angles of 90.00, 90.00 and 90.00 degrees. Symmetry generates all atoms from Te at (0.000, 0.000, 0.000), Te at (0.500, 0.500, 0.408), Mo at (0.500, 0.000, 0.688) and W at (0.000, 0.500, 0.721).


<2>
Density functional theory data (meta-GGA SCAN) for a PBEsol-optimized structure of Te2MoW.

The space group is C2/m (No. 12) and the conventional cell measures 6.245, 8.695 and 3.210 Å, with angles of 90.00, 117.35 and 90.00 degrees. Symmetry generates all atoms from Te at (0.250, 0.250, 0.000), Mo at (0.000, 0.000, 0.500) and W at (0.000, 0.500, 0.500).


Energetically preferred structure: <1> | next structure: +1050 meV per atom


<1>
Density functional theory data (meta-GGA SCAN) for a PBEsol-optimized structure of Tl2Mo.

The space group is P6/mmm (No. 191) and the conventional cell measures 5.0229, 5.0229 and 2.8438 Å, with angles of 90.00, 90.00 and 120.00 degrees. Symmetry generates all atoms from Tl at (0.3333, 0.6667, 0.0000) and Mo at (0.0000, 0.0000, 0.5000).


<2>
Density functional theory data (meta-GGA SCAN) for a PBEsol-optimized structure of Tl2Mo.

The space group is P4/mmm (No. 123) and the conventional cell measures 4.911, 4.911 and 2.931 Å, with angles of 90.00, 90.00 and 90.00 degrees. Symmetry generates all atoms from Tl at (0.000, 0.500, 0.000) and Mo at (0.000, 0.000, 0.500).


Energetically preferred structure: <2> | next structure: +576 meV per atom


<1>
Density functional theory data (meta-GGA SCAN) for a PBEsol-optimized structure of TlMo2W.

The space group is F-43m (No. 216) and the conventional cell measures 6.447, 6.447 and 6.447 Å, with angles of 90.00, 90.00 and 90.00 degrees. Symmetry generates all atoms from Tl at (0.000, 0.000, 0.000), Mo at (0.000, 0.000, 0.500), Mo at (0.250, 0.250, 0.750) and W at (0.250, 0.250, 0.250).


<2>
Density functional theory data (meta-GGA SCAN) for a PBEsol-optimized structure of TlMo2W.

The space group is P4mm (No. 99) and the conventional cell measures 3.350, 3.350 and 6.052 Å, with angles of 90.00, 90.00 and 90.00 degrees. Symmetry generates all atoms from Tl at (0.000, 0.000, 0.000), Mo at (0.000, 0.000, 0.502), Mo at (0.500, 0.500, 0.720) and W at (0.500, 0.500, 0.287).


<3>
Density functional theory data (meta-GGA SCAN) for a PBEsol-optimized structure of TlMo2W.

The space group is Imm2 (No. 44) and the conventional cell measures 3.276, 4.500 and 9.075 Å, with angles of 90.00, 90.00 and 90.00 degrees. Symmetry generates all atoms from Tl at (0.000, 0.000, 0.000), Mo at (0.000, 0.000, 0.497), Mo at (0.000, 0.500, 0.234) and W at (0.000, 0.500, 0.766).


Energetically preferred structure: <2> | next structure: +17 meV per atom


<1>
Density functional theory data (meta-GGA SCAN) for a PBEsol-optimized structure of YTl2Mo.

The space group is P4/mmm (No. 123) and the conventional cell measures 3.275, 3.275 and 8.041 Å, with angles of 90.00, 90.00 and 90.00 degrees. Symmetry generates all atoms from Y at (0.000, 0.000, 0.000), Tl at (0.500, 0.500, 0.276) and Mo at (0.000, 0.000, 0.500).


<2>
Density functional theory data (meta-GGA SCAN) for a PBEsol-optimized structure of YTl2Mo.

The space group is Cmmm (No. 65) and the conventional cell measures 6.206, 8.385 and 3.296 Å, with angles of 90.00, 90.00 and 90.00 degrees. Symmetry generates all atoms from Y at (0.000, 0.000, 0.000), Tl at (0.250, 0.250, 0.500) and Mo at (0.000, 0.500, 0.000).


Energetically preferred structure: <1> | next structure: +59 meV per atom


<1>
Density functional theory data (meta-GGA SCAN) for a PBEsol-optimized structure of Zr2TlMo.

The space group is P4/mmm (No. 123) and the conventional cell measures 3.450, 3.450 and 6.712 Å, with angles of 90.00, 90.00 and 90.00 degrees. Symmetry generates all atoms from Zr at (0.000, 0.000, 0.224), Tl at (0.500, 0.500, 0.500) and Mo at (0.500, 0.500, 0.000).


<2>
Density functional theory data (meta-GGA SCAN) for a PBEsol-optimized structure of Zr2TlMo.

The space group is Cmmm (No. 65) and the conventional cell measures 3.506, 5.061 and 9.183 Å, with angles of 90.00, 90.00 and 90.00 degrees. Symmetry generates all atoms from Zr at (0.000, 0.000, 0.223), Tl at (0.000, 0.500, 0.500) and Mo at (0.000, 0.500, 0.000).


Energetically preferred structure: <1> | next structure: +179 meV per atom